# PBE-GGA Pr8Ru3Br3N, relaxed
# * E: -6.012 eV per atom
# * formation energy without anion corrections: -69.3 kJ per mole of atoms
data_Pr8Ru3Br3N
_cell_length_a 8.113
_cell_length_b 8.114
_cell_length_c 9.198
_cell_angle_alpha 116.25
_cell_angle_beta 90.00
_cell_angle_gamma 120.00
_space_group_name_H-M_alt 'P 1'
_space_group_IT_number 1
_space_group_name_Hall 'P 1'
loop_
_atom_site_label
_atom_site_type_symbol
_atom_site_fract_x
_atom_site_fract_y
_atom_site_fract_z
Ru1 Ru 0.500 0.500 0.500
Ru2 Ru 0.500 0.000 0.500
Ru3 Ru 0.000 0.500 0.500
Pr1 Pr 0.217 0.965 0.681
Pr2 Pr 0.783 0.035 0.319
Pr3 Pr 0.217 0.434 0.681
Pr4 Pr 0.252 0.035 0.319
Pr5 Pr 0.748 0.965 0.681
Pr6 Pr 0.265 0.529 0.295
Pr7 Pr 0.783 0.566 0.319
Pr8 Pr 0.735 0.471 0.705
Br1 Br 0.000 0.000 0.000
Br2 Br 0.500 0.500 0.000
Br3 Br 0.000 0.500 0.000
N1 N 0.000 0.000 0.500

=====

# PBE-GGA Pr4RuBr2N, relaxed
# * E: -6.017 eV per atom
# * formation energy without anion corrections: -97.3 kJ per mole of atoms
data_Pr4RuBr2N
_cell_length_a 3.941
_cell_length_b 6.938
_cell_length_c 7.996
_cell_angle_alpha 105.77
_cell_angle_beta 90.00
_cell_angle_gamma 90.00
_space_group_name_H-M_alt 'P 1'
_space_group_IT_number 1
_space_group_name_Hall 'P 1'
loop_
_atom_site_label
_atom_site_type_symbol
_atom_site_fract_x
_atom_site_fract_y
_atom_site_fract_z
Pr1 Pr 0.000 0.234 0.811
Pr2 Pr 0.500 0.218 0.182
Pr3 Pr 0.500 0.782 0.818
Pr4 Pr 0.000 0.766 0.189
Br1 Br 0.500 0.000 0.500
Br2 Br 0.000 0.500 0.500
Ru1 Ru 0.500 0.500 0.000
N1 N 0.000 0.000 0.000

=====

# PBE-GGA Pr6S4BrN3, relaxed
# * E: -6.940 eV per atom
# * formation energy without anion corrections: -174.5 kJ per mole of atoms
data_Pr6S4BrN3
_cell_length_a 4.069
_cell_length_b 11.609
_cell_length_c 27.612
_cell_angle_alpha 90.00
_cell_angle_beta 90.00
_cell_angle_gamma 90.00
_space_group_name_H-M_alt 'P 1'
_space_group_IT_number 1
_space_group_name_Hall 'P 1'
loop_
_atom_site_label
_atom_site_type_symbol
_atom_site_fract_x
_atom_site_fract_y
_atom_site_fract_z
S1 S 0.750 0.794 0.898
S2 S 0.750 0.864 0.764
S3 S 0.750 0.357 0.994
S4 S 0.750 0.810 0.638
S5 S 0.750 0.294 0.602
S6 S 0.250 0.136 0.236
S7 S 0.250 0.143 0.494
S8 S 0.250 0.643 0.006
S9 S 0.250 0.690 0.138
S10 S 0.750 0.364 0.736
S11 S 0.250 0.190 0.362
S12 S 0.250 0.206 0.102
S13 S 0.250 0.706 0.398
S14 S 0.750 0.310 0.862
S15 S 0.250 0.636 0.264
S16 S 0.750 0.857 0.506
Pr1 Pr 0.750 0.755 0.329
Pr2 Pr 0.250 0.438 0.807
Pr3 Pr 0.750 0.562 0.193
Pr4 Pr 0.250 0.442 0.078
Pr5 Pr 0.250 0.249 0.936
Pr6 Pr 0.750 0.058 0.578
Pr7 Pr 0.250 0.901 0.965
Pr8 Pr 0.250 0.938 0.693
Pr9 Pr 0.250 0.745 0.829
Pr10 Pr 0.750 0.626 0.717
Pr11 Pr 0.250 0.245 0.671
Pr12 Pr 0.250 0.374 0.283
Pr13 Pr 0.250 0.874 0.217
Pr14 Pr 0.750 0.751 0.064
Pr15 Pr 0.750 0.099 0.035
Pr16 Pr 0.750 0.599 0.465
Pr17 Pr 0.250 0.401 0.535
Pr18 Pr 0.750 0.126 0.783
Pr19 Pr 0.250 0.942 0.422
Pr20 Pr 0.250 0.749 0.564
Pr21 Pr 0.750 0.251 0.436
Pr22 Pr 0.750 0.062 0.307
Pr23 Pr 0.750 0.255 0.171
Pr24 Pr 0.750 0.558 0.922
N1 N 0.750 0.901 0.014
N2 N 0.250 0.613 0.762
N3 N 0.250 0.562 0.875
N4 N 0.750 0.938 0.375
N5 N 0.250 0.113 0.738
N6 N 0.250 0.062 0.625
N7 N 0.250 0.099 0.986
N8 N 0.250 0.599 0.514
N9 N 0.750 0.401 0.486
N10 N 0.750 0.887 0.262
N11 N 0.750 0.438 0.125
N12 N 0.750 0.387 0.238
Br1 Br 0.250 0.040 0.863
Br2 Br 0.250 0.540 0.637
Br3 Br 0.750 0.960 0.137
Br4 Br 0.750 0.460 0.363

=====

# PBE-GGA Pr6S2Br3N, relaxed
# * E: -5.700 eV per atom
# * formation energy without anion corrections: -145.8 kJ per mole of atoms
data_Pr6S2Br3N
_cell_length_a 7.012
_cell_length_b 7.012
_cell_length_c 7.647
_cell_angle_alpha 98.76
_cell_angle_beta 98.76
_cell_angle_gamma 119.81
_space_group_name_H-M_alt 'P 1'
_space_group_IT_number 1
_space_group_name_Hall 'P 1'
loop_
_atom_site_label
_atom_site_type_symbol
_atom_site_fract_x
_atom_site_fract_y
_atom_site_fract_z
N1 N 0.000 0.000 0.000
Pr1 Pr 0.064 0.365 0.191
Pr2 Pr 0.365 0.064 0.191
Pr3 Pr 0.936 0.635 0.809
Pr4 Pr 0.236 0.236 0.805
Pr5 Pr 0.764 0.764 0.195
Pr6 Pr 0.635 0.936 0.809
Br1 Br 0.500 0.500 0.500
Br2 Br 0.827 0.173 0.500
Br3 Br 0.173 0.827 0.500
S1 S 0.334 0.666 0.000
S2 S 0.666 0.334 0.000

=====

# PBE-GGA Pr2ScBr2N2, relaxed
# * E: -6.658 eV per atom
# * formation energy without anion corrections: -147.7 kJ per mole of atoms
data_Pr2ScBr2N2
_cell_length_a 4.280
_cell_length_b 4.280
_cell_length_c 9.226
_cell_angle_alpha 103.41
_cell_angle_beta 103.41
_cell_angle_gamma 90.00
_space_group_name_H-M_alt 'P 1'
_space_group_IT_number 1
_space_group_name_Hall 'P 1'
loop_
_atom_site_label
_atom_site_type_symbol
_atom_site_fract_x
_atom_site_fract_y
_atom_site_fract_z
Sc1 Sc 0.000 0.000 0.000
Pr1 Pr 0.414 0.414 0.827
Pr2 Pr 0.586 0.586 0.173
N1 N 0.000 0.500 0.000
N2 N 0.500 0.000 0.000
Br1 Br 0.832 0.832 0.665
Br2 Br 0.168 0.168 0.335

=====

# PBE-GGA Pr8Si3Br4N, relaxed
# * E: -5.471 eV per atom
# * formation energy without anion corrections: -108.6 kJ per mole of atoms
data_Pr8Si3Br4N
_cell_length_a 8.297
_cell_length_b 8.939
_cell_length_c 8.297
_cell_angle_alpha 117.66
_cell_angle_beta 120.00
_cell_angle_gamma 90.00
_space_group_name_H-M_alt 'P 1'
_space_group_IT_number 1
_space_group_name_Hall 'P 1'
loop_
_atom_site_label
_atom_site_type_symbol
_atom_site_fract_x
_atom_site_fract_y
_atom_site_fract_z
Pr1 Pr 0.783 0.304 0.565
Pr2 Pr 0.217 0.696 0.979
Pr3 Pr 0.217 0.696 0.435
Pr4 Pr 0.762 0.696 0.979
Pr5 Pr 0.737 0.712 0.475
Pr6 Pr 0.238 0.304 0.021
Pr7 Pr 0.783 0.304 0.021
Pr8 Pr 0.263 0.288 0.525
Br1 Br 0.000 0.000 0.000
Br2 Br 0.500 0.000 0.000
Br3 Br 0.500 0.000 0.500
Br4 Br 0.000 0.000 0.500
Si1 Si 0.000 0.500 0.500
Si2 Si 0.500 0.500 0.500
Si3 Si 0.500 0.500 0.000
N1 N 0.000 0.500 0.000

=====

# PBE-GGA Pr4SiBr2N, relaxed
# * E: -5.719 eV per atom
# * formation energy without anion corrections: -115.1 kJ per mole of atoms
data_Pr4SiBr2N
_cell_length_a 4.013
_cell_length_b 6.997
_cell_length_c 7.903
_cell_angle_alpha 107.67
_cell_angle_beta 90.00
_cell_angle_gamma 90.00
_space_group_name_H-M_alt 'P 1'
_space_group_IT_number 1
_space_group_name_Hall 'P 1'
loop_
_atom_site_label
_atom_site_type_symbol
_atom_site_fract_x
_atom_site_fract_y
_atom_site_fract_z
Br1 Br 0.000 0.500 0.500
Br2 Br 0.500 0.000 0.500
N1 N 0.500 0.500 0.000
Pr1 Pr 0.000 0.294 0.813
Pr2 Pr 0.000 0.706 0.187
Pr3 Pr 0.500 0.731 0.806
Pr4 Pr 0.500 0.269 0.194
Si1 Si 0.000 0.000 0.000

=====

# PBE-GGA Pr2SmBr2N2, relaxed
# * E: -6.141 eV per atom
# * formation energy without anion corrections: -120.1 kJ per mole of atoms
data_Pr2SmBr2N2
_cell_length_a 4.610
_cell_length_b 4.610
_cell_length_c 8.808
_cell_angle_alpha 105.17
_cell_angle_beta 105.17
_cell_angle_gamma 90.00
_space_group_name_H-M_alt 'P 1'
_space_group_IT_number 1
_space_group_name_Hall 'P 1'
loop_
_atom_site_label
_atom_site_type_symbol
_atom_site_fract_x
_atom_site_fract_y
_atom_site_fract_z
Br1 Br 0.818 0.818 0.635
Br2 Br 0.182 0.182 0.365
N1 N 0.500 0.000 0.000
N2 N 0.000 0.500 0.000
Pr1 Pr 0.592 0.592 0.184
Pr2 Pr 0.408 0.408 0.816
Sm1 Sm 0.000 0.000 0.000

=====

no.,spin magnetization (μB per atom)
1,0.043
2,0.000
3,0.000
4,0.000
5,0.141
6,0.000
7,0.000
8,0.136